Below is Hf2RhN after structural relaxation, with properties calculated at the GGA-PBE level.

Output
The total energy is -10.0625 eV/atom. Its size of the total moment is 0.0 μB/f.u.

Cell lengths 7.082, 7.082, 7.082 Å; angles 25.96, 25.96, 25.96 degrees
Fractional coordinates of all 4 atoms:
Hf  0.231  0.231  0.231
Hf  0.769  0.769  0.769
Rh  0.000  0.000  0.000
N  0.500  0.500  0.500